(1)
# PBE Er3SiPb2, optimized geometry
# E in eV per formula unit: -29.104
# Fermi-level density of states in states/eV/cell: 16.115
# Crystal system: orthorhombic
# M_tot in μB/f.u.: 0.000
data_Er3SiPb2
_chemical_formula_sum 'Er12 Si4 Pb8'
_symmetry_space_group_name_H-M 'P n m a'
_symmetry_Int_Tables_number 62
_symmetry_space_group_name_Hall '-P 2ac 2n'
_cell_length_a 12.598
_cell_length_b 4.289
_cell_length_c 11.840
_cell_angle_alpha 90.00
_cell_angle_beta 90.00
_cell_angle_gamma 90.00
loop_
_atom_site_label
_atom_site_fract_x
_atom_site_fract_y
_atom_site_fract_z
Er1 0.059 0.250 0.118
Er2 0.112 0.750 0.541
Er3 0.243 0.750 0.275
Si1 0.118 0.250 0.370
Pb1 0.022 0.250 0.714
Pb2 0.188 0.750 0.991

(2)
# PBE Er4SiTe2Pb, optimized geometry
# E in eV per formula unit: -41.359
# Fermi-level density of states in states/eV/cell: 1.615
# Crystal system: monoclinic
# M_tot in μB/f.u.: 0.000
data_Er4SiTe2Pb
_chemical_formula_sum 'Er4 Si1 Te2 Pb1'
_symmetry_space_group_name_H-M 'P 1 2/m 1'
_symmetry_Int_Tables_number 10
_symmetry_space_group_name_Hall '-P 2y'
_cell_length_a 7.491
_cell_length_b 4.257
_cell_length_c 7.508
_cell_angle_alpha 90.00
_cell_angle_beta 108.99
_cell_angle_gamma 90.00
loop_
_atom_site_label
_atom_site_fract_x
_atom_site_fract_y
_atom_site_fract_z
Er1 0.228 0.000 0.222
Er2 0.242 0.500 0.768
Si1 0.000 0.500 0.000
Te1 0.000 0.000 0.500
Te2 0.500 0.500 0.500
Pb1 0.500 0.000 0.000

(3)
# PBE Er8Si3Te4Pb, optimized geometry
# E in eV per formula unit: -85.213
# Fermi-level density of states in states/eV/cell: 9.033
# Crystal system: trigonal
# M_tot in μB/f.u.: 0.000
data_Er8Si3Te4Pb
_chemical_formula_sum 'Er24 Si9 Te12 Pb3'
_symmetry_space_group_name_H-M 'R -3 m'
_symmetry_Int_Tables_number 166
_symmetry_space_group_name_Hall '-R 3 2"'
_cell_length_a 8.4825
_cell_length_b 8.4825
_cell_length_c 21.1954
_cell_angle_alpha 90.00
_cell_angle_beta 90.00
_cell_angle_gamma 120.00
loop_
_atom_site_label
_atom_site_fract_x
_atom_site_fract_y
_atom_site_fract_z
Er1 0.0000 0.0000 0.2386
Er2 0.0121 0.5061 0.7588
Si1 0.0000 0.5000 0.5000
Te1 0.0000 0.0000 0.0000
Te2 0.0000 0.5000 0.0000
Pb1 0.0000 0.0000 0.5000

(4)
# PBE Sm2ErPb, optimized geometry
# Energy of formation from the pure elements in eV per atom: 0.04
# Fermi-level density of states in states/eV/cell: 11.923
# Crystal system: trigonal
# M_tot in μB/f.u.: 0.000
data_Sm2ErPb
_chemical_formula_sum 'Sm6 Er3 Pb3'
_symmetry_space_group_name_H-M 'R -3 m'
_symmetry_Int_Tables_number 166
_symmetry_space_group_name_Hall '-R 3 2"'
_cell_length_a 3.5643
_cell_length_b 3.5643
_cell_length_c 36.5175
_cell_angle_alpha 90.00
_cell_angle_beta 90.00
_cell_angle_gamma 120.00
loop_
_atom_site_label
_atom_site_fract_x
_atom_site_fract_y
_atom_site_fract_z
Sm1 0.0000 0.0000 0.0885
Er1 0.0000 0.0000 0.5000
Pb1 0.0000 0.0000 0.0000

(5)
# PBE Sm2ErPb, optimized geometry
# Energy of formation from the pure elements in eV per atom: -0.15
# Fermi-level density of states in states/eV/cell: 13.549
# Crystal system: trigonal
# M_tot in μB/f.u.: 0.211
data_Sm2ErPb
_chemical_formula_sum 'Sm6 Er3 Pb3'
_symmetry_space_group_name_H-M 'R 3 m'
_symmetry_Int_Tables_number 160
_symmetry_space_group_name_Hall 'R 3 -2"'
_cell_length_a 3.6364
_cell_length_b 3.6364
_cell_length_c 33.3145
_cell_angle_alpha 90.00
_cell_angle_beta 90.00
_cell_angle_gamma 120.00
loop_
_atom_site_label
_atom_site_fract_x
_atom_site_fract_y
_atom_site_fract_z
Sm1 0.0000 0.0000 0.0000
Sm2 0.0000 0.0000 0.1709
Er1 0.0000 0.0000 0.4187
Pb1 0.0000 0.0000 0.5852

(6)
# PBE Sm2Er2Pb3, optimized geometry
# Energy of formation from the pure elements in eV per atom: -0.23
# Fermi-level density of states in states/eV/cell: 6.010
# Crystal system: monoclinic
# M_tot in μB/f.u.: 0.000
data_Sm2Er2Pb3
_chemical_formula_sum 'Sm4 Er4 Pb6'
_symmetry_space_group_name_H-M 'C 1 2/m 1'
_symmetry_Int_Tables_number 12
_symmetry_space_group_name_Hall '-C 2y'
_cell_length_a 15.755
_cell_length_b 4.580
_cell_length_c 8.155
_cell_angle_alpha 90.00
_cell_angle_beta 118.70
_cell_angle_gamma 90.00
loop_
_atom_site_label
_atom_site_fract_x
_atom_site_fract_y
_atom_site_fract_z
Sm1 0.148 0.000 0.032
Er1 0.141 0.500 0.420
Pb1 0.000 0.500 0.000
Pb2 0.200 0.000 0.705

(7)
# PBE SmErPb, optimized geometry
# Energy of formation from the pure elements in eV per atom: 0.23
# Fermi-level density of states in states/eV/cell: 7.984
# Crystal system: tetragonal
# M_tot in μB/f.u.: 0.470
data_SmErPb
_chemical_formula_sum 'Sm2 Er2 Pb2'
_symmetry_space_group_name_H-M 'I 4 m m'
_symmetry_Int_Tables_number 107
_symmetry_space_group_name_Hall 'I 4 -2'
_cell_length_a 3.351
_cell_length_b 3.351
_cell_length_c 17.881
_cell_angle_alpha 90.00
_cell_angle_beta 90.00
_cell_angle_gamma 90.00
loop_
_atom_site_label
_atom_site_fract_x
_atom_site_fract_y
_atom_site_fract_z
Sm1 0.000 0.000 0.000
Er1 0.000 0.000 0.190
Pb1 0.000 0.000 0.822

(8)
# PBE SmErPb2, optimized geometry
# Energy of formation from the pure elements in eV per atom: -0.35
# Fermi-level density of states in states/eV/cell: 5.643
# Crystal system: trigonal
# M_tot in μB/f.u.: 0.000
data_SmErPb2
_chemical_formula_sum 'Sm3 Er3 Pb6'
_symmetry_space_group_name_H-M 'R -3 m'
_symmetry_Int_Tables_number 166
_symmetry_space_group_name_Hall '-R 3 2"'
_cell_length_a 3.8757
_cell_length_b 3.8757
_cell_length_c 28.0931
_cell_angle_alpha 90.00
_cell_angle_beta 90.00
_cell_angle_gamma 120.00
loop_
_atom_site_label
_atom_site_fract_x
_atom_site_fract_y
_atom_site_fract_z
Sm1 0.0000 0.0000 0.0000
Er1 0.0000 0.0000 0.5000
Pb1 0.0000 0.0000 0.2480

(9)
# PBE SmEr2Pb, optimized geometry
# Energy of formation from the pure elements in eV per atom: -0.30
# Fermi-level density of states in states/eV/cell: 9.605
# Crystal system: monoclinic
# M_tot in μB/f.u.: 0.000
data_SmEr2Pb
_chemical_formula_sum 'Sm2 Er4 Pb2'
_symmetry_space_group_name_H-M 'P 1 21/m 1'
_symmetry_Int_Tables_number 11
_symmetry_space_group_name_Hall '-P 2yb'
_cell_length_a 4.646
_cell_length_b 4.713
_cell_length_c 11.519
_cell_angle_alpha 90.00
_cell_angle_beta 101.62
_cell_angle_gamma 90.00
loop_
_atom_site_label
_atom_site_fract_x
_atom_site_fract_y
_atom_site_fract_z
Sm1 0.191 0.250 0.383
Er1 0.057 0.750 0.113
Er2 0.438 0.750 0.876
Pb1 0.336 0.250 0.670

(10)
# PBE SmErPb, optimized geometry
# Energy of formation from the pure elements in eV per atom: -0.17
# Fermi-level density of states in states/eV/cell: 12.653
# Crystal system: orthorhombic
# M_tot in μB/f.u.: 0.013
data_SmErPb
_chemical_formula_sum 'Sm4 Er4 Pb4'
_symmetry_space_group_name_H-M 'C m c m'
_symmetry_Int_Tables_number 63
_symmetry_space_group_name_Hall '-C 2c 2'
_cell_length_a 3.453
_cell_length_b 17.890
_cell_length_c 6.111
_cell_angle_alpha 90.00
_cell_angle_beta 90.00
_cell_angle_gamma 90.00
loop_
_atom_site_label
_atom_site_fract_x
_atom_site_fract_y
_atom_site_fract_z
Sm1 0.000 0.164 0.250
Er1 0.000 0.500 0.000
Pb1 0.000 0.344 0.250

(11)
# PBE SmEr3Pb3, optimized geometry
# Energy of formation from the pure elements in eV per atom: -0.34
# Fermi-level density of states in states/eV/cell: 25.356
# Crystal system: trigonal
# M_tot in μB/f.u.: 0.000
data_SmEr3Pb3
_chemical_formula_sum 'Sm3 Er9 Pb9'
_symmetry_space_group_name_H-M 'R 3 m'
_symmetry_Int_Tables_number 160
_symmetry_space_group_name_Hall 'R 3 -2"'
_cell_length_a 10.6497
_cell_length_b 10.6497
_cell_length_c 6.5020
_cell_angle_alpha 90.00
_cell_angle_beta 90.00
_cell_angle_gamma 120.00
loop_
_atom_site_label
_atom_site_fract_x
_atom_site_fract_y
_atom_site_fract_z
Sm1 0.0000 0.0000 0.0000
Er1 0.0962 0.5481 0.1813
Pb1 0.1680 0.3361 0.9650

(12)
# PBE Sm5ErPb6, optimized geometry
# Energy of formation from the pure elements in eV per atom: -0.47
# Fermi-level density of states in states/eV/cell: 15.575
# Crystal system: monoclinic
# M_tot in μB/f.u.: 0.000
data_Sm5ErPb6
_chemical_formula_sum 'Sm10 Er2 Pb12'
_symmetry_space_group_name_H-M 'C 1 2/m 1'
_symmetry_Int_Tables_number 12
_symmetry_space_group_name_Hall '-C 2y'
_cell_length_a 5.912
_cell_length_b 14.567
_cell_length_c 8.691
_cell_angle_alpha 90.00
_cell_angle_beta 101.92
_cell_angle_gamma 90.00
loop_
_atom_site_label
_atom_site_fract_x
_atom_site_fract_y
_atom_site_fract_z
Sm1 0.000 0.000 0.000
Sm2 0.000 0.330 0.000
Sm3 0.000 0.337 0.500
Er1 0.000 0.000 0.500
Pb1 0.002 0.165 0.746
Pb2 0.017 0.500 0.247